Below is an optimized crystal structure of Pr9Y2Ho, with properties calculated at the GGA-PBE level.

a b c (Å): 5.1957 5.1957 15.5884
angles (deg): 90.00 90.00 90.00
Closest atoms and distances in Å follow each position.
Space group P4/mmm (No. 123)
Unique sites:
Pr: 0.0000 0.0000 0.0000  8 Pr 3.67, 4 Ho 3.67
Pr: 0.0000 0.0000 0.3329  4 Y 3.67, 8 Pr 3.68
Pr: 0.0000 0.5000 0.1659  2 Ho 3.67, 8 Pr 3.67-3.68, 2 Y 3.68
Pr: 0.0000 0.5000 0.5000  8 Pr 3.67-3.68, 4 Y 3.68
Y: 0.5000 0.5000 0.3330  12 Pr 3.67-3.68
Ho: 0.5000 0.5000 0.0000  12 Pr 3.67

Calculated values
- Uncorrected energy: -5.0315 eV per atom
- ΔH_f (0 K): 0.012 eV/atom
- M_tot: 0.000 μB per formula unit